No. 1
# PBE NaCa2MgAu, optimized geometry
# - Mass density: 3.079 Mg/m³
# - V: 34.99 A^3/atom
# - ΔE_f: -264 meV/atom
data_NaCa2MgAu
_chemical_formula_sum 'Na1 Ca2 Mg1 Au1'
_space_group_name_H-M_alt 'P 1'
_space_group_IT_number 1
_cell_length_a 5.795
_cell_length_b 5.795
_cell_length_c 5.210
_cell_angle_alpha 90.00
_cell_angle_beta 90.00
_cell_angle_gamma 90.00
loop_
_space_group_symop_operation_xyz
'x,y,z'
loop_
_atom_site_label
_atom_site_fract_x
_atom_site_fract_y
_atom_site_fract_z
Na1 0.000 0.000 0.000
Ca1 0.000 0.500 0.500
Ca2 0.500 0.000 0.500
Mg1 0.500 0.500 0.000
Au1 0.500 0.500 0.500


No. 2
# PBE NaCa2MgAu4, optimized geometry
# - Mass density: 8.572 Mg/m³
# - V: 22.16 A^3/atom
# - ΔE_f: -626 meV/atom
data_NaCa2MgAu4
_chemical_formula_sum 'Na1 Ca2 Mg1 Au4'
_space_group_name_H-M_alt 'P 1'
_space_group_IT_number 1
_cell_length_a 8.693
_cell_length_b 8.693
_cell_length_c 8.693
_cell_angle_alpha 33.41
_cell_angle_beta 33.41
_cell_angle_gamma 33.41
loop_
_space_group_symop_operation_xyz
'x,y,z'
loop_
_atom_site_label
_atom_site_fract_x
_atom_site_fract_y
_atom_site_fract_z
Na1 0.000 0.000 0.000
Ca1 0.252 0.252 0.252
Ca2 0.748 0.748 0.748
Mg1 0.500 0.500 0.500
Au1 0.130 0.130 0.130
Au2 0.382 0.382 0.382
Au3 0.618 0.618 0.618
Au4 0.870 0.870 0.870


No. 3
# PBE CaNdMg2Au4, optimized geometry
# - Mass density: 9.661 Mg/m³
# - V: 21.93 A^3/atom
# - ΔE_f: -695 meV/atom
data_CaNdMg2Au4
_chemical_formula_sum 'Ca1 Nd1 Mg2 Au4'
_space_group_name_H-M_alt 'P 1'
_space_group_IT_number 1
_cell_length_a 8.433
_cell_length_b 8.433
_cell_length_c 8.433
_cell_angle_alpha 34.92
_cell_angle_beta 34.92
_cell_angle_gamma 34.92
loop_
_space_group_symop_operation_xyz
'x,y,z'
loop_
_atom_site_label
_atom_site_fract_x
_atom_site_fract_y
_atom_site_fract_z
Ca1 0.000 0.000 0.000
Nd1 0.500 0.500 0.500
Mg1 0.251 0.251 0.251
Mg2 0.749 0.749 0.749
Au1 0.128 0.128 0.128
Au2 0.371 0.371 0.371
Au3 0.629 0.629 0.629
Au4 0.872 0.872 0.872


No. 4
# PBE CaMgNiAu, optimized geometry
# - Mass density: 6.867 Mg/m³
# - V: 19.35 A^3/atom
# - ΔE_f: -314 meV/atom
data_CaMgNiAu
_chemical_formula_sum 'Ca1 Mg1 Ni1 Au1'
_space_group_name_H-M_alt 'P 1'
_space_group_IT_number 1
_cell_length_a 4.783
_cell_length_b 4.783
_cell_length_c 4.783
_cell_angle_alpha 60.00
_cell_angle_beta 60.00
_cell_angle_gamma 60.00
loop_
_space_group_symop_operation_xyz
'x,y,z'
loop_
_atom_site_label
_atom_site_fract_x
_atom_site_fract_y
_atom_site_fract_z
Ca1 0.000 0.000 0.000
Mg1 0.500 0.500 0.500
Ni1 0.750 0.750 0.750
Au1 0.250 0.250 0.250


No. 5
# PBE Ca2MgAuO, optimized geometry
# - Energy relative to the elements, uncorrected: -1373 meV/atom
# - Mass density: 5.319 Mg/m³
# - V: 19.82 A^3/atom
data_Ca2MgAuO
_chemical_formula_sum 'Ca2 Mg1 Au1 O1'
_space_group_name_H-M_alt 'P 1'
_space_group_IT_number 1
_cell_length_a 4.791
_cell_length_b 4.791
_cell_length_c 4.317
_cell_angle_alpha 90.00
_cell_angle_beta 90.00
_cell_angle_gamma 90.00
loop_
_space_group_symop_operation_xyz
'x,y,z'
loop_
_atom_site_label
_atom_site_fract_x
_atom_site_fract_y
_atom_site_fract_z
Ca1 0.000 0.500 0.000
Ca2 0.500 0.000 0.000
Mg1 0.000 0.000 0.500
Au1 0.500 0.500 0.500
O1 0.000 0.000 0.000


No. 6
# PBE CaMg2AuO4, optimized geometry
# - Energy relative to the elements, uncorrected: -1742 meV/atom
# - Mass density: 5.731 Mg/m³
# - V: 12.66 A^3/atom
data_CaMg2AuO4
_chemical_formula_sum 'Ca2 Mg4 Au2 O8'
_space_group_name_H-M_alt 'P 1'
_space_group_IT_number 1
_cell_length_a 5.940
_cell_length_b 5.940
_cell_length_c 11.522
_cell_angle_alpha 90.00
_cell_angle_beta 90.00
_cell_angle_gamma 150.11
loop_
_space_group_symop_operation_xyz
'x,y,z'
loop_
_atom_site_label
_atom_site_fract_x
_atom_site_fract_y
_atom_site_fract_z
Ca1 0.197 0.803 0.750
Ca2 0.803 0.197 0.250
Mg1 0.371 0.629 0.518
Mg2 0.371 0.629 0.982
Mg3 0.629 0.371 0.018
Mg4 0.629 0.371 0.482
Au1 0.072 0.928 0.250
Au2 0.928 0.072 0.750
O1 0.000 0.000 0.000
O2 0.000 0.000 0.500
O3 0.231 0.769 0.107
O4 0.231 0.769 0.393
O5 0.448 0.552 0.250
O6 0.552 0.448 0.750
O7 0.769 0.231 0.607
O8 0.769 0.231 0.893


No. 7
# PBE CaPm2MgAu4, optimized geometry
# - Mass density: 10.196 Mg/m³
# - V: 23.25 A^3/atom
# - ΔE_f: -773 meV/atom
data_CaPm2MgAu4
_chemical_formula_sum 'Ca1 Pm2 Mg1 Au4'
_space_group_name_H-M_alt 'P 1'
_space_group_IT_number 1
_cell_length_a 8.792
_cell_length_b 8.792
_cell_length_c 8.792
_cell_angle_alpha 33.66
_cell_angle_beta 33.66
_cell_angle_gamma 33.66
loop_
_space_group_symop_operation_xyz
'x,y,z'
loop_
_atom_site_label
_atom_site_fract_x
_atom_site_fract_y
_atom_site_fract_z
Ca1 0.000 0.000 0.000
Pm1 0.246 0.246 0.246
Pm2 0.754 0.754 0.754
Mg1 0.500 0.500 0.500
Au1 0.124 0.124 0.124
Au2 0.377 0.377 0.377
Au3 0.623 0.623 0.623
Au4 0.876 0.876 0.876


No. 8
# PBE CaPmMg2Au4, optimized geometry
# - Mass density: 9.755 Mg/m³
# - V: 21.74 A^3/atom
# - ΔE_f: -703 meV/atom
data_CaPmMg2Au4
_chemical_formula_sum 'Ca1 Pm1 Mg2 Au4'
_space_group_name_H-M_alt 'P 1'
_space_group_IT_number 1
_cell_length_a 8.425
_cell_length_b 8.425
_cell_length_c 8.425
_cell_angle_alpha 34.81
_cell_angle_beta 34.81
_cell_angle_gamma 34.81
loop_
_space_group_symop_operation_xyz
'x,y,z'
loop_
_atom_site_label
_atom_site_fract_x
_atom_site_fract_y
_atom_site_fract_z
Ca1 0.000 0.000 0.000
Pm1 0.500 0.500 0.500
Mg1 0.251 0.251 0.251
Mg2 0.749 0.749 0.749
Au1 0.128 0.128 0.128
Au2 0.372 0.372 0.372
Au3 0.628 0.628 0.628
Au4 0.872 0.872 0.872